<one>
Density functional theory data (PBEsol) for TcOs3 after structural relaxation.

Computed properties:
crystal system	tetragonal

abc: 3.235 3.235 5.512
angles: 90.00 90.00 90.00
Fractional coordinates of all 4 atoms:
Tc (0.000, 0.000, 0.000)
Os (0.000, 0.000, 0.500)
Os (0.500, 0.500, 0.254)
Os (0.500, 0.500, 0.746)


<two>
Density functional theory data (PBEsol) for TcOs3 after structural relaxation.

Computed properties:
crystal system	orthorhombic

abc: 5.460 5.460 4.313
angles: 90.00 90.00 119.97
Fractional coordinates of all 8 atoms:
Tc (0.083, 0.917, 0.750)
Tc (0.917, 0.083, 0.250)
Os (0.085, 0.417, 0.750)
Os (0.417, 0.085, 0.250)
Os (0.417, 0.583, 0.250)
Os (0.583, 0.417, 0.750)
Os (0.583, 0.915, 0.750)
Os (0.915, 0.583, 0.250)


Result of the stability comparison: <two> is the most stable of them.


<one>
Density functional theory data (PBEsol) for LiLaTa2 after structural relaxation.

Computed properties:
crystal system	orthorhombic

abc: 2.971 2.971 10.424
angles: 90.00 90.00 113.61
Fractional coordinates of all 4 atoms:
Li (0.000, 0.000, 0.000)
La (0.500, 0.500, 0.703)
Ta (0.000, 0.000, 0.438)
Ta (0.500, 0.500, 0.233)


<two>
Density functional theory data (PBEsol) for LiLaTa2 after structural relaxation.

Computed properties:
crystal system	monoclinic

abc: 5.499 5.499 5.049
angles: 100.40 100.40 31.55
Fractional coordinates of all 4 atoms:
Li (0.000, 0.000, 0.000)
La (0.500, 0.500, 0.500)
Ta (0.266, 0.266, 0.771)
Ta (0.734, 0.734, 0.229)


Result of the stability comparison: <one> is the most stable of them.


<one>
Density functional theory data (PBEsol) for Cd2AgRh after structural relaxation.

Computed properties:
crystal system	tetragonal

abc: 5.015 5.015 5.015
angles: 132.50 132.50 69.44
Fractional coordinates of all 4 atoms:
Cd (0.000, 0.000, 0.000)
Cd (0.750, 0.250, 0.500)
Ag (0.250, 0.750, 0.500)
Rh (0.500, 0.500, 0.000)


<two>
Density functional theory data (PBEsol) for Cd2AgRh after structural relaxation.

Computed properties:
crystal system	tetragonal

abc: 4.770 4.770 4.770
angles: 127.01 127.01 78.23
Fractional coordinates of all 4 atoms:
Cd (0.250, 0.750, 0.500)
Cd (0.750, 0.250, 0.500)
Ag (0.000, 0.000, 0.000)
Rh (0.500, 0.500, 0.000)


Result of the stability comparison: <two> is the most stable of them.


<one>
Density functional theory data (PBEsol) for CaAgW2 after structural relaxation.

Computed properties:
crystal system	tetragonal

abc: 3.259 3.259 7.359
angles: 90.00 90.00 90.00
Fractional coordinates of all 4 atoms:
Ca (0.000, 0.000, 0.000)
Ag (0.500, 0.500, 0.714)
W (0.000, 0.000, 0.467)
W (0.500, 0.500, 0.307)


<two>
Density functional theory data (PBEsol) for CaAgW2 after structural relaxation.

Computed properties:
crystal system	tetragonal

abc: 3.825 3.825 4.957
angles: 90.00 90.00 90.00
Fractional coordinates of all 4 atoms:
Ca (0.000, 0.000, 0.000)
Ag (0.500, 0.500, 0.000)
W (0.000, 0.500, 0.500)
W (0.500, 0.000, 0.500)


Result of the stability comparison: <one> is the most stable of them.